Record 1
A geometry-optimized LiGeIr2Rh structure, computed with PBE.

## Properties
Space group: P4/mmm
Formation enthalpy at 0 K (eV per formula unit): 4.31
DOS(E_F) (states/eV/cell): 5.1
DFT total energy (eV per atom): -5.458

Cell lengths 4.504, 4.303, 4.504 Å; angles 90.00, 90.00, 90.00 degrees
Fractional coordinates of all 5 atoms:
1 Ge 0.000 0.000 0.000
2 Ir 0.000 0.000 0.500
3 Ir 0.500 0.000 0.000
4 Rh 0.500 0.500 0.500
5 Li 0.000 0.500 0.000

---

Record 2
A geometry-optimized Ca3TaP structure, computed with PBE.

## Properties
Space group: Pm-3m
Formation enthalpy at 0 K (eV per formula unit): 1.79
DOS(E_F) (states/eV/cell): 1.6
Energy relative to the lowest polymorph listed for this composition (eV per atom): 0.000
DFT total energy (eV per atom): -4.296

Cell lengths 5.453, 5.453, 5.453 Å; angles 90.00, 90.00, 90.00 degrees
Site moments in Bohr magnetons follow the coordinates.
Fractional coordinates of all 5 atoms:
1 P 0.000 0.000 0.000  0.07
2 Ca 0.000 0.500 0.000  0.11
3 Ca 0.000 0.000 0.500  0.11
4 Ca 0.500 0.000 0.000  0.10
5 Ta 0.500 0.500 0.500  2.31

---

Record 3
A geometry-optimized Sr3TaAl structure, computed with PBE.

## Properties
Space group: Pm-3m
Formation enthalpy at 0 K (eV per formula unit): 5.67
DOS(E_F) (states/eV/cell): 3.6
Energy relative to the lowest polymorph listed for this composition (eV per atom): 0.000
DFT total energy (eV per atom): -2.995

Cell lengths 5.897, 5.897, 5.897 Å; angles 90.00, 90.00, 90.00 degrees
Fractional coordinates of all 5 atoms:
1 Sr 0.000 0.500 0.000
2 Sr 0.000 0.000 0.500
3 Sr 0.500 0.000 0.000
4 Al 0.500 0.500 0.500
5 Ta 0.000 0.000 0.000

---

Record 4
A geometry-optimized LiTc2Cl8 structure, computed with PBE.

## Properties
Space group: C2/m
DOS(E_F) (states/eV/cell): 11.2
Energy relative to the lowest polymorph listed for this composition (eV per atom): 0.128
DFT total energy (eV per atom): -4.010
Raw formation energy (eV per atom): -0.608

Cell lengths 6.425, 7.713, 7.713 Å; angles 77.96, 87.70, 87.70 degrees
Site moments in Bohr magnetons follow the coordinates.
Fractional coordinates of all 11 atoms:
1 Li 0.000 0.000 0.000  0.00
2 Tc 0.663 0.793 0.793  0.39
3 Tc 0.337 0.207 0.207  0.39
4 Cl 0.196 0.282 0.937  0.02
5 Cl 0.804 0.063 0.718  0.02
6 Cl 0.317 0.814 0.814  0.02
7 Cl 0.683 0.186 0.186  0.02
8 Cl 0.196 0.937 0.282  0.02
9 Cl 0.804 0.718 0.063  0.02
10 Cl 0.782 0.616 0.616  0.02
11 Cl 0.218 0.384 0.384  0.02

---

Record 5
A geometry-optimized CuPt2Rh structure, computed with PBE.

## Properties
Space group: I-42d
Formation enthalpy at 0 K (eV per formula unit): 1.13
DOS(E_F) (states/eV/cell): 10.4
DFT total energy (eV per atom): -5.600

Cell lengths 3.765, 3.765, 9.367 Å; angles 78.41, 78.41, 90.00 degrees
Fractional coordinates of all 8 atoms:
1 Rh 0.000 0.000 0.000
2 Rh 0.750 0.250 0.500
3 Cu 0.500 0.500 0.000
4 Cu 0.250 0.750 0.500
5 Pt 0.625 0.125 0.250
6 Pt 0.125 0.625 0.250
7 Pt 0.375 0.375 0.750
8 Pt 0.875 0.875 0.750

---

Record 6
A geometry-optimized Nb2Co3Ni3 structure, computed with PBE.

## Properties
Space group: Pmmm
Formation enthalpy at 0 K (eV per formula unit): -1.77
DOS(E_F) (states/eV/cell): 7.5
DFT total energy (eV per atom): -7.571

Cell lengths 3.731, 3.668, 7.172 Å; angles 90.00, 90.00, 90.00 degrees
Site moments in Bohr magnetons follow the coordinates.
Fractional coordinates of all 8 atoms:
1 Nb 0.000 0.000 0.746  -0.06
2 Nb 0.000 0.000 0.254  -0.06
3 Co 0.500 0.000 0.500  0.16
4 Co 0.000 0.500 0.000  0.12
5 Co 0.000 0.500 0.500  0.12
6 Ni 0.500 0.500 0.749  0.05
7 Ni 0.500 0.500 0.251  0.05
8 Ni 0.500 0.000 0.000  0.03

---

Record 7
A geometry-optimized Er6GaIr structure, computed with PBE.

## Properties
Space group: C2/m
Formation enthalpy at 0 K (eV per formula unit): -1.86
DOS(E_F) (states/eV/cell): 8.5
DFT total energy (eV per atom): -5.141

Cell lengths 6.674, 6.724, 6.586 Å; angles 59.30, 78.27, 66.52 degrees
Fractional coordinates of all 8 atoms:
1 Er 0.745 0.448 0.626
2 Er 0.745 0.074 0.374
3 Er 0.255 0.926 0.626
4 Er 0.255 0.552 0.374
5 Er 0.739 0.740 0.000
6 Er 0.261 0.260 0.000
7 Ga 0.000 0.000 0.000
8 Ir 0.500 0.500 0.000

---

Record 8
A geometry-optimized Ac2Zn4HgPt3 structure, computed with PBE.

## Properties
Space group: P-4m2
Formation enthalpy at 0 K (eV per formula unit): -6.66
DOS(E_F) (states/eV/cell): 4.8
DFT total energy (eV per atom): -3.840

Cell lengths 4.454, 4.454, 10.753 Å; angles 90.00, 90.00, 90.00 degrees
Fractional coordinates of all 10 atoms:
1 Ac 0.500 0.000 0.245
2 Ac 0.000 0.500 0.755
3 Zn 0.500 0.500 0.000
4 Zn 0.000 0.000 0.000
5 Zn 0.500 0.000 0.635
6 Zn 0.000 0.500 0.365
7 Hg 0.500 0.500 0.500
8 Pt 0.000 0.000 0.500
9 Pt 0.500 0.000 0.872
10 Pt 0.000 0.500 0.128

---

Record 9
A geometry-optimized Cs2RbZnBi structure, computed with PBE.

## Properties
Space group: P4/mmm
Formation enthalpy at 0 K (eV per formula unit): -0.37
DOS(E_F) (states/eV/cell): 2.2
DFT total energy (eV per atom): -1.641

Cell lengths 7.267, 7.267, 5.584 Å; angles 90.00, 90.00, 90.00 degrees
Fractional coordinates of all 5 atoms:
1 Cs 0.000 0.500 0.000
2 Cs 0.500 0.000 0.000
3 Zn 0.000 0.000 0.000
4 Bi 0.000 0.000 0.500
5 Rb 0.500 0.500 0.500

---

Record 10
A geometry-optimized K2CuHg structure, computed with PBE.

## Properties
Space group: R3m
Formation enthalpy at 0 K (eV per formula unit): 0.04
DOS(E_F) (states/eV/cell): 1.1
DFT total energy (eV per atom): -1.638

Cell lengths 9.209, 9.209, 9.209 Å; angles 29.33, 29.33, 29.33 degrees
Fractional coordinates of all 4 atoms:
1 Cu 0.458 0.458 0.458
2 Hg 0.792 0.792 0.792
3 K 0.038 0.038 0.038
4 K 0.212 0.212 0.212

---

Record 11
A geometry-optimized NiCl2 structure, computed with PBE.

## Properties
Space group: R-3m
DFT total energy (eV per atom): -3.746
Raw formation energy (eV per atom): -0.588

Cell lengths 6.594, 6.594, 6.594 Å; angles 30.62, 30.62, 30.62 degrees
Site moments in Bohr magnetons follow the coordinates.
Fractional coordinates of all 3 atoms:
1 Ni 0.000 0.000 0.000  1.41
2 Cl 0.264 0.264 0.264  0.21
3 Cl 0.736 0.736 0.736  0.21

---

Record 12
A geometry-optimized Li5ThO4 structure, computed with PBE.

## Properties
Space group: Pmmn
DOS(E_F) (states/eV/cell): 3.1
DFT total energy (eV per atom): -5.771
Raw formation energy (eV per atom): -2.089

Cell lengths 5.595, 8.930, 6.163 Å; angles 90.00, 90.00, 90.00 degrees
Fractional coordinates of all 20 atoms:
1 Li 0.846 0.160 0.251
2 Li 0.846 0.160 0.749
3 Li 0.487 0.000 0.500
4 Li 0.846 0.840 0.251
5 Li 0.846 0.840 0.749
6 Li 0.154 0.660 0.249
7 Li 0.154 0.660 0.751
8 Li 0.513 0.500 0.000
9 Li 0.154 0.340 0.751
10 Li 0.154 0.340 0.249
11 Th 0.335 0.000 0.000
12 Th 0.665 0.500 0.500
13 O 0.087 0.199 0.000
14 O 0.622 0.000 0.240
15 O 0.622 0.000 0.760
16 O 0.087 0.801 0.000
17 O 0.913 0.699 0.500
18 O 0.378 0.500 0.260
19 O 0.378 0.500 0.740
20 O 0.913 0.301 0.500

---

Record 13
A geometry-optimized NbGaOF2 structure, computed with PBE.

## Properties
Space group: P4/mmm
DOS(E_F) (states/eV/cell): 5.6
Energy relative to the lowest polymorph listed for this composition (eV per atom): 0.877
DFT total energy (eV per atom): -5.316
Raw formation energy (eV per atom): -0.957

Cell lengths 4.171, 4.171, 3.823 Å; angles 90.00, 90.00, 90.00 degrees
Site moments in Bohr magnetons follow the coordinates.
Fractional coordinates of all 5 atoms:
1 Nb 0.500 0.500 0.500  2.90
2 O 0.000 0.000 0.500  0.01
3 Ga 0.000 0.000 0.000  0.01
4 F 0.000 0.500 0.000  0.05
5 F 0.500 0.000 0.000  0.05

---

Record 14
A geometry-optimized Tl2HgAsI structure, computed with PBE.

## Properties
Space group: P4/mmm
DOS(E_F) (states/eV/cell): 5.4
DFT total energy (eV per atom): -2.327
Raw formation energy (eV per atom): -0.080

Cell lengths 5.943, 5.943, 5.462 Å; angles 90.00, 90.00, 90.00 degrees
Fractional coordinates of all 5 atoms:
1 I 0.500 0.500 0.500
2 As 0.000 0.000 0.000
3 Tl 0.000 0.500 0.000
4 Tl 0.500 0.000 0.000
5 Hg 0.000 0.000 0.500

---

Record 15
A geometry-optimized BaTcMo2 structure, computed with PBE.

## Properties
Space group: Pmmm
Formation enthalpy at 0 K (eV per formula unit): 2.89
DOS(E_F) (states/eV/cell): 6.0
Energy relative to the lowest polymorph listed for this composition (eV per atom): 0.030
DFT total energy (eV per atom): -7.764

Cell lengths 3.220, 3.583, 7.934 Å; angles 90.00, 90.00, 90.00 degrees
Fractional coordinates of all 4 atoms:
1 Ba 0.500 0.500 0.750
2 Mo 0.000 0.000 0.101
3 Mo 0.000 0.000 0.399
4 Tc 0.500 0.500 0.250

---

Record 16
A geometry-optimized Ho2Cu2Ir structure, computed with PBE.

## Properties
Space group: C2/m
Formation enthalpy at 0 K (eV per formula unit): -2.33
DOS(E_F) (states/eV/cell): 2.0
DFT total energy (eV per atom): -5.708

Cell lengths 6.230, 5.357, 5.357 Å; angles 42.50, 54.67, 54.67 degrees
Fractional coordinates of all 5 atoms:
1 Ho 0.730 0.770 0.770
2 Ho 0.270 0.230 0.230
3 Cu 0.300 0.500 0.500
4 Cu 0.700 0.500 0.500
5 Ir 0.000 0.000 0.000

---

Record 17
A geometry-optimized CsZnP structure, computed with PBE.

## Properties
Space group: P-1
Formation enthalpy at 0 K (eV per formula unit): -1.13
DOS(E_F) (states/eV/cell): 0.0
DFT total energy (eV per atom): -2.889

Cell lengths 7.421, 6.814, 4.128 Å; angles 90.10, 73.94, 74.40 degrees
Fractional coordinates of all 6 atoms:
1 Cs 0.615 0.848 0.508
2 Cs 0.267 0.468 0.679
3 P 0.167 0.951 0.230
4 P 0.715 0.365 0.956
5 Zn 0.867 0.265 0.380
6 Zn 0.015 0.050 0.806

---

Record 18
A geometry-optimized Ga2PSe structure, computed with PBE.

## Properties
Space group: I-42d
DOS(E_F) (states/eV/cell): 4.4
Energy relative to the lowest polymorph listed for this composition (eV per atom): 0.000
DFT total energy (eV per atom): -3.983
Raw formation energy (eV per atom): -0.246

Cell lengths 5.951, 5.951, 6.927 Å; angles 64.56, 64.56, 90.00 degrees
Fractional coordinates of all 8 atoms:
1 P 0.500 0.500 0.000
2 P 0.250 0.750 0.500
3 Ga 0.597 0.125 0.250
4 Ga 0.153 0.625 0.250
5 Ga 0.375 0.403 0.750
6 Ga 0.875 0.847 0.750
7 Se 0.000 0.000 0.000
8 Se 0.750 0.250 0.500

---

Record 19
A geometry-optimized Tb2DyY4Sc2 structure, computed with PBE.

## Properties
Space group: C2/m
Formation enthalpy at 0 K (eV per formula unit): 0.32
DOS(E_F) (states/eV/cell): 14.6
DFT total energy (eV per atom): -5.784

Cell lengths 3.545, 9.358, 9.351 Å; angles 115.32, 90.00, 100.92 degrees
Fractional coordinates of all 9 atoms:
1 Tb 0.850 0.700 0.325
2 Tb 0.150 0.300 0.675
3 Dy 0.000 0.000 0.000
4 Y 0.815 0.630 0.672
5 Y 0.185 0.370 0.328
6 Y 0.518 0.036 0.333
7 Y 0.482 0.964 0.667
8 Sc 0.331 0.662 0.000
9 Sc 0.669 0.338 0.000

---

Record 20
A geometry-optimized LiDy3Pa3N8 structure, computed with PBE.

## Properties
Space group: R-3m
DOS(E_F) (states/eV/cell): 4.4
DFT total energy (eV per atom): -8.684
Raw formation energy (eV per atom): -1.296

Cell lengths 6.883, 6.884, 6.842 Å; angles 120.20, 90.00, 120.00 degrees
Fractional coordinates of all 15 atoms:
1 Li 0.000 0.000 0.500
2 Dy 0.000 0.000 0.000
3 Dy 0.000 0.500 0.000
4 Dy 0.500 0.500 0.000
5 Pa 0.500 0.000 0.500
6 Pa 0.500 0.500 0.500
7 Pa 0.000 0.500 0.500
8 N 0.248 0.496 0.245
9 N 0.752 0.504 0.755
10 N 0.757 0.514 0.282
11 N 0.243 0.486 0.718
12 N 0.757 0.025 0.282
13 N 0.243 0.975 0.718
14 N 0.268 0.025 0.282
15 N 0.732 0.975 0.718

---

Record 21
A geometry-optimized AcDyCd2In2 structure, computed with PBE.

## Properties
Space group: P-3m1
Formation enthalpy at 0 K (eV per formula unit): -2.53
DOS(E_F) (states/eV/cell): 3.6
DFT total energy (eV per atom): -3.091

Cell lengths 4.966, 4.966, 7.853 Å; angles 90.00, 90.00, 120.00 degrees
Fractional coordinates of all 6 atoms:
1 Ac 0.000 0.000 0.000
2 Dy 0.000 0.000 0.500
3 Cd 0.667 0.333 0.298
4 Cd 0.333 0.667 0.702
5 In 0.667 0.333 0.727
6 In 0.333 0.667 0.273

---

Record 22
A geometry-optimized HgTe2Au structure, computed with PBE.

## Properties
Space group: P2_1/c
DOS(E_F) (states/eV/cell): 8.2
DFT total energy (eV per atom): -2.407
Raw formation energy (eV per atom): 0.058

Cell lengths 17.668, 4.945, 7.459 Å; angles 90.00, 131.68, 90.00 degrees
Fractional coordinates of all 16 atoms:
1 Te 0.870 0.041 0.604
2 Te 0.130 0.959 0.396
3 Te 0.630 0.541 0.896
4 Te 0.370 0.459 0.104
5 Te 0.155 0.750 0.792
6 Te 0.845 0.250 0.208
7 Te 0.345 0.250 0.708
8 Te 0.655 0.750 0.292
9 Au 0.263 0.118 0.164
10 Au 0.737 0.882 0.836
11 Au 0.237 0.618 0.336
12 Au 0.763 0.382 0.664
13 Hg 0.559 0.164 0.426
14 Hg 0.441 0.836 0.574
15 Hg 0.941 0.664 0.074
16 Hg 0.059 0.336 0.926

---

Record 23
A geometry-optimized KNiSb2Te structure, computed with PBE.

## Properties
Space group: P4/mmm
DOS(E_F) (states/eV/cell): 11.8
Energy relative to the lowest polymorph listed for this composition (eV per atom): 1.715
DFT total energy (eV per atom): -1.994
Raw formation energy (eV per atom): 1.659

Cell lengths 5.759, 5.759, 5.796 Å; angles 90.00, 90.00, 90.00 degrees
Site moments in Bohr magnetons follow the coordinates.
Fractional coordinates of all 5 atoms:
1 Sb 0.000 0.500 0.000  0.09
2 Sb 0.500 0.000 0.000  0.09
3 K 0.000 0.000 0.000  0.03
4 Te 0.000 0.000 0.500  -0.01
5 Ni 0.500 0.500 0.500  0.95

---

Record 24
A geometry-optimized Ta2TlHg structure, computed with PBE.

## Properties
Space group: I4/mmm
Formation enthalpy at 0 K (eV per formula unit): 1.96
DOS(E_F) (states/eV/cell): 1.2
DFT total energy (eV per atom): -6.103

Cell lengths 5.398, 5.398, 5.398 Å; angles 134.51, 134.56, 66.25 degrees
Fractional coordinates of all 4 atoms:
1 Hg 0.250 0.750 0.500
2 Ta 0.000 0.000 0.000
3 Ta 0.500 0.500 0.000
4 Tl 0.750 0.250 0.500

---

Record 25
A geometry-optimized NaFe2Pd2 structure, computed with PBE.

## Properties
Space group: P4/mbm
Formation enthalpy at 0 K (eV per formula unit): 0.27
DOS(E_F) (states/eV/cell): 6.4
Energy relative to the lowest polymorph listed for this composition (eV per atom): 0.000
DFT total energy (eV per atom): -5.673

Cell lengths 7.658, 7.658, 2.696 Å; angles 90.00, 90.00, 90.00 degrees
Site moments in Bohr magnetons follow the coordinates.
Fractional coordinates of all 10 atoms:
1 Na 0.000 0.000 0.000  -0.01
2 Na 0.500 0.500 0.000  -0.01
3 Fe 0.388 0.888 0.000  2.91
4 Fe 0.888 0.612 0.000  2.91
5 Fe 0.612 0.112 0.000  2.91
6 Fe 0.112 0.388 0.000  2.91
7 Pd 0.179 0.679 0.500  0.28
8 Pd 0.679 0.821 0.500  0.28
9 Pd 0.821 0.321 0.500  0.28
10 Pd 0.321 0.179 0.500  0.28